Record 1
Below is a relaxed structure of EuPuMg4, with properties calculated at the PBE level.

Calculated values
- Fermi-level density of states: 21.06 states/eV/cell
- Space group: F-43m (216)
- VASP energy: -5.1134 eV per atom

abc: 6.157 6.157 6.157
angles: 60.00 60.00 60.00
Site moments in Bohr magnetons follow the coordinates.
Fractional coordinates of all 6 atoms:
Mg 0.625 0.126 0.625  0.00
Pu 0.250 0.250 0.250  -5.54
Mg 0.625 0.625 0.126  0.00
Mg 0.126 0.625 0.625  0.00
Mg 0.625 0.625 0.625  0.00
Eu 0.000 0.000 0.000  6.82

Record 2
Below is a relaxed structure of EuPuMg, with properties calculated at the PBE level.

Calculated values
- Fermi-level density of states: 9.02 states/eV/cell
- Space group: I4mm (107)
- VASP energy: -8.5324 eV per atom

abc: 3.356 3.356 8.263
angles: 101.72 101.72 90.00
Site moments in Bohr magnetons follow the coordinates.
Fractional coordinates of all 3 atoms:
Eu 0.006 0.006 0.012  -6.87
Pu 0.323 0.323 0.646  5.65
Mg 0.671 0.671 0.342  0.00